No. 1
A relaxed Ca2LaSc2 crystal. Source: Alexandria via LeMat-Bulk, functional GGA-PBE.

Lattice parameters (Å, degrees): 9.3411 9.3411 3.7332 90.00 90.00 90.00
Closest atoms and distances in Å follow each position.
Element x y z (fractional)
Ca 0.1324 0.3676 0.0000  6 Sc 3.26-3.36, 1 Ca 3.50, 2 La 3.65
Ca 0.3676 0.8676 0.0000  6 Sc 3.26-3.36, 1 Ca 3.50, 2 La 3.65
La 0.0000 0.0000 0.0000  4 Ca 3.65, 2 La 3.73, 8 Sc 3.96
Sc 0.1652 0.6652 0.5000  6 Ca 3.26-3.36
La 0.5000 0.5000 0.0000  4 Ca 3.65, 2 La 3.73, 8 Sc 3.96
Sc 0.8348 0.3348 0.5000  6 Ca 3.26-3.36
Ca 0.8676 0.6324 0.0000  6 Sc 3.26-3.36, 1 Ca 3.50, 2 La 3.65
Ca 0.6324 0.1324 0.0000  6 Sc 3.26-3.36, 1 Ca 3.50, 2 La 3.65
Sc 0.6652 0.8348 0.5000  6 Ca 3.26-3.36
Sc 0.3348 0.1652 0.5000  6 Ca 3.26-3.36

Total moment: 0.0 μB/cell
Formation enthalpy at 0 K: 295 meV/atom
Total energy: -4.0233 eV per atom



No. 2
A relaxed IrOsAu2 crystal. Source: Alexandria via LeMat-Bulk, functional GGA-PBE.

Lattice parameters (Å, degrees): 9.6047 9.6047 9.6047 16.84 16.84 16.84
Closest atoms and distances in Å follow each position.
Element x y z (fractional)
Ir 0.4944 0.4944 0.4944  3 Os 2.62, 6 Ir 2.81, 3 Au 2.93
Au 0.2467 0.2467 0.2467  9 Au 2.81-3.03, 3 Ir 2.93
Au 0.0036 0.0036 0.0036  9 Au 2.81-3.03, 3 Os 2.91
Os 0.7553 0.7553 0.7553  3 Ir 2.62, 6 Os 2.81, 3 Au 2.91

Total moment: 0.0 μB/cell
Formation enthalpy at 0 K: 256 meV/atom
Total energy: -6.4058 eV per atom



Question: Which value of total energy does entry 2 give?
Answer: -6.4058 eV per atom



Question: Number 2 is which compound?
Answer: IrOsAu2



Question: What is the total energy in the second record?
Answer: -6.4058 eV per atom